No. 1
The following is a GGA-PBEsol calculation of PtPbAu3 after structural relaxation, from Alexandria.

Cell: 5.0770 5.0770 5.0770 Å, 90.00 90.00 90.00°
Closest atoms and distances in Å follow each position.
Fractional coordinates of all 5 atoms:
Pb1 0.0000 0.0000 0.0000  6 Au 2.54
Au1 0.0000 0.5000 0.0000  2 Pb 2.54
Au2 0.0000 0.0000 0.5000  2 Pb 2.54
Au3 0.5000 0.0000 0.0000  2 Pb 2.54
Pt1 0.5000 0.5000 0.5000  12 Au 3.59

Output
Space group: Pm-3m
N(E_F) in states/eV/atom: 0.88
Crystal system: cubic

---

No. 2
The following is a GGA-PBEsol calculation of PtPbAu3 after structural relaxation, from Alexandria.

Cell: 4.9958 4.9958 4.9958 Å, 90.00 90.00 90.00°
Closest atoms and distances in Å follow each position.
Fractional coordinates of all 5 atoms:
Au1 0.5000 0.0000 0.0000  2 Pt 2.50
Au2 0.0000 0.0000 0.5000  2 Pt 2.50
Au3 0.0000 0.5000 0.0000  2 Pt 2.50
Pb1 0.5000 0.5000 0.5000  12 Au 3.53
Pt1 0.0000 0.0000 0.0000  6 Au 2.50

Output
Space group: Pm-3m
N(E_F) in states/eV/atom: 0.47
Crystal system: cubic

---

No. 3
The following is a GGA-PBEsol calculation of PtPb2Au after structural relaxation, from Alexandria.

Cell: 3.3265 5.1017 5.9517 Å, 115.38 106.23 90.00°
Closest atoms and distances in Å follow each position.
Fractional coordinates of all 4 atoms:
Au1 0.7761 0.2761 0.5522  2 Pt 2.75
Pt1 0.4900 0.4900 0.9800  2 Au 2.75, 6 Pb 2.88-3.06
Pb1 0.2197 0.7197 0.4394  2 Pt 2.88, 4 Au 3.10
Pb2 0.0142 0.0142 0.0284  4 Pt 3.06, 2 Au 3.15, 4 Pb 3.31-3.33

Output
Space group: Imm2
N(E_F) in states/eV/atom: 0.35
Crystal system: orthorhombic

---

No. 4
The following is a GGA-PBEsol calculation of Pt2PbAu after structural relaxation, from Alexandria.

Cell: 4.1650 4.1650 5.0129 Å, 114.55 114.55 90.00°
Closest atoms and distances in Å follow each position.
Fractional coordinates of all 4 atoms:
Pb1 0.0000 0.0000 0.0000  8 Pt 2.91, 4 Au 2.95
Pt1 0.2500 0.7500 0.5000  4 Pb 2.91, 4 Au 2.91, 4 Pt 2.95
Pt2 0.7500 0.2500 0.5000  4 Pb 2.91, 4 Au 2.91, 4 Pt 2.95
Au1 0.5000 0.5000 0.0000  8 Pt 2.91, 4 Pb 2.95

Output
Space group: I4/mmm
N(E_F) in states/eV/atom: 0.47
Crystal system: tetragonal

---

No. 5
The following is a GGA-PBEsol calculation of PuPbAu2 after structural relaxation, from Alexandria.

Cell: 4.9849 4.9849 4.9849 Å, 60.00 60.00 60.00°
Closest atoms and distances in Å follow each position.
Fractional coordinates of all 4 atoms:
Au1 0.2500 0.2500 0.2500  4 Pb 3.05, 4 Pu 3.05
Au2 0.7500 0.7500 0.7500  4 Pb 3.05, 4 Pu 3.05
Pb1 0.0000 0.0000 0.0000  8 Au 3.05
Pu1 0.5000 0.5000 0.5000  8 Au 3.05

Output
Space group: Fm-3m
N(E_F) in states/eV/atom: 3.66
Crystal system: cubic

---

No. 6
The following is a GGA-PBEsol calculation of Rb3PbAu after structural relaxation, from Alexandria.

Cell: 6.3539 6.3539 6.3539 Å, 90.00 90.00 90.00°
Closest atoms and distances in Å follow each position.
Fractional coordinates of all 5 atoms:
Au1 0.0000 0.0000 0.0000  6 Rb 3.18
Rb1 0.0000 0.5000 0.0000  2 Au 3.18
Rb2 0.0000 0.0000 0.5000  2 Au 3.18
Rb3 0.5000 0.0000 0.0000  2 Au 3.18
Pb1 0.5000 0.5000 0.5000  12 Rb 4.49

Output
Space group: Pm-3m
N(E_F) in states/eV/atom: 1.17
Crystal system: cubic

---

ΔE_f (eV per atom)
1.452; 0.579; 0.019; 0.039; -0.152; 0.126